# 1
Entry from the Alexandria database: an optimized crystal structure of ThTl2In (PBE).

Summary:
Crystal system: tetragonal
Energy of formation from the pure elements: -0.2059 eV per atom
D(E_F): 3.111 states/eV per cell
Total magnetic moment: 0.00 μB/atom

Unit cell a=4.8194 b=4.8194 c=4.7609 alpha=90.00 beta=90.00 gamma=90.00
Space group P4/mmm (No. 123)
One atom of each set of equivalent atoms:
Th: 0.0000 0.0000 0.0000 [1 per cell]
Tl: 0.0000 0.5000 0.5000 [2 per cell]
In: 0.5000 0.5000 0.0000 [1 per cell]



# 2
Entry from the Alexandria database: an optimized crystal structure of TbZnInAg (PBE).

Summary:
Crystal system: cubic
Energy of formation from the pure elements: -0.3361 eV per atom
D(E_F): 9.349 states/eV per cell
Total magnetic moment: 0.00 μB/atom

Unit cell a=6.9414 b=6.9414 c=6.9414 alpha=90.00 beta=90.00 gamma=90.00
Space group F-43m (No. 216)
One atom of each set of equivalent atoms:
Tb: 0.0000 0.0000 0.0000 [4 per cell]
Zn: 0.2500 0.2500 0.2500 [4 per cell]
In: 0.0000 0.0000 0.5000 [4 per cell]
Ag: 0.2500 0.2500 0.7500 [4 per cell]



# 3
Entry from the Alexandria database: an optimized crystal structure of TbZrN2 (PBE).

Summary:
Crystal system: hexagonal
D(E_F): 2.283 states/eV per cell
Total magnetic moment: 0.00 μB/atom
Energy relative to the elements, uncorrected: -1.67 eV/atom

Unit cell a=3.3268 b=3.3268 c=11.2315 alpha=90.00 beta=90.00 gamma=120.00
Space group P6_3/mmc (No. 194)
One atom of each set of equivalent atoms:
Tb: 0.3333 0.6667 0.2500 [2 per cell]
Zr: 0.0000 0.0000 0.0000 [2 per cell]
N: 0.3333 0.6667 0.6129 [4 per cell]



# 4
Entry from the Alexandria database: an optimized crystal structure of TiZn7 (PBE).

Summary:
Crystal system: cubic
Energy of formation from the pure elements: -0.0378 eV per atom
D(E_F): 23.955 states/eV per cell
Total magnetic moment: 0.13 μB/atom

Unit cell a=7.8993 b=7.8993 c=7.8993 alpha=90.00 beta=90.00 gamma=90.00
Space group Fm-3m (No. 225)
One atom of each set of equivalent atoms:
Ti: 0.0000 0.0000 0.0000 [4 per cell]
Zn: 0.0000 0.0000 0.5000 [4 per cell]
Zn: 0.0000 0.2500 0.2500 [24 per cell]